Record 1
A geometry-optimized Co4Cu3 structure. Source: Alexandria, functional GGA-PBE.

abc: 4.5894 4.5894 4.5173
angles: 90.00 90.00 120.00
With the nearest neighbours (Å) after each atom.
Space group P6/mmm (No. 191)
Inequivalent atoms, fractional coordinates:
Co: 0.0000 0.0000 0.2408  2 Co 2.18-2.34
Co: 0.3333 0.6667 0.0000  6 Cu 2.62, 9 Co 2.65-2.86
Cu: 0.0000 0.5000 0.5000  4 Cu 2.29

Properties
distance to the lowest polymorph of the same formula: 1.46 eV/f.u.
uncorrected energy: -38.59 eV for the cell shown



Record 2
A geometry-optimized CoCu4 structure. Source: Alexandria, functional GGA-PBE.

abc: 4.3595 4.3595 4.3595
angles: 90.00 90.00 90.00
With the nearest neighbours (Å) after each atom.
Space group Pm-3m (No. 221)
Inequivalent atoms, fractional coordinates:
Co: 0.0000 0.0000 0.0000  6 Cu 2.18
Cu: 0.0000 0.0000 0.5000  2 Co 2.18
Cu: 0.5000 0.5000 0.5000  12 Cu 3.08

Properties
distance to the lowest polymorph of the same formula: 3.17 eV/f.u.
uncorrected energy: -17.97 eV for the cell shown



Record 3
A geometry-optimized CoCu structure. Source: Alexandria, functional GGA-PBE.

abc: 4.7635 4.7635 4.7635
angles: 90.00 90.00 90.00
With the nearest neighbours (Å) after each atom.
Space group Fm-3m (No. 225)
Inequivalent atoms, fractional coordinates:
Co: 0.0000 0.0000 0.0000  6 Cu 2.38
Cu: 0.0000 0.0000 0.5000  6 Co 2.38

Properties
uncorrected energy: -37.55 eV for the cell shown



Record 4
A geometry-optimized CoCu structure. Source: Alexandria, functional GGA-PBE.

abc: 2.4537 9.5707 3.9605
angles: 90.00 90.00 90.00
With the nearest neighbours (Å) after each atom.
Space group Cmcm (No. 63)
Inequivalent atoms, fractional coordinates:
Co: 0.0000 0.0602 0.2500  4 Co 2.29-2.45, 1 Cu 2.48
Cu: 0.0000 0.3193 0.2500  6 Cu 2.45-2.68, 7 Co 2.48-2.61

Properties
uncorrected energy: -43.29 eV for the cell shown



Record 5
A geometry-optimized Co3Cu2 structure. Source: Alexandria, functional GGA-PBE.

abc: 2.4757 2.4757 33.3164
angles: 90.00 90.00 120.00
With the nearest neighbours (Å) after each atom.
Space group R-3m (No. 166, hexagonal axes)
Inequivalent atoms, fractional coordinates:
Co: 0.0000 0.0000 0.0000  6 Co 2.48, 6 Cu 2.56
Co: 0.0000 0.0000 0.1958  9 Co 2.41-2.48, 1 Cu 2.46
Cu: 0.0000 0.0000 0.2696  4 Co 2.46-2.56, 6 Cu 2.48

Properties
uncorrected energy: -85.25 eV for the cell shown



Record 6
A geometry-optimized CoCu structure. Source: Alexandria, functional GGA-PBE.

abc: 2.5515 2.5515 7.0566
angles: 90.00 90.00 90.00
With the nearest neighbours (Å) after each atom.
Space group P4/nmm (No. 129, origin choice 2)
Inequivalent atoms, fractional coordinates:
Co: 0.2500 0.2500 0.1121  8 Co 2.40-2.55, 4 Cu 2.57
Cu: 0.2500 0.2500 0.6291  8 Cu 2.55-2.56, 4 Co 2.57

Properties
uncorrected energy: -22.05 eV for the cell shown



Record 7
A geometry-optimized Co5Cu3 structure. Source: Alexandria, functional GGA-PBE.

abc: 7.0052 7.0052 4.4539
angles: 90.00 90.00 120.00
With the nearest neighbours (Å) after each atom.
Space group P6_3/mcm (No. 193)
Inequivalent atoms, fractional coordinates:
Co: 0.0000 0.2095 0.2500  5 Cu 2.45-2.71, 6 Co 2.54-2.67
Co: 0.3333 0.6667 0.0000  2 Co 2.23, 6 Cu 2.40
Cu: 0.0000 0.4040 0.7500  8 Co 2.40-2.61, 2 Cu 2.60

Properties
distance to the lowest polymorph of the same formula: 0.62 eV/f.u.
uncorrected energy: -90.11 eV for the cell shown



Record 8
A geometry-optimized Co2Cu structure. Source: Alexandria, functional GGA-PBE.

abc: 2.4515 2.4515 23.3226
angles: 90.00 90.00 90.00
With the nearest neighbours (Å) after each atom.
Space group I4_1/amd (No. 141, origin choice 2)
Inequivalent atoms, fractional coordinates:
Co: 0.0000 0.2500 0.2932  6 Co 2.36-2.45, 4 Cu 2.58
Cu: 0.0000 0.2500 0.8750  4 Cu 2.45, 8 Co 2.58

Properties
uncorrected energy: -70.01 eV for the cell shown



Record 9
A geometry-optimized Co2Cu structure. Source: Alexandria, functional GGA-PBE.

abc: 6.9362 6.9362 2.4400
angles: 90.00 90.00 120.00
With the nearest neighbours (Å) after each atom.
Space group P-62m (No. 189)
Inequivalent atoms, fractional coordinates:
Co: 0.0000 0.3103 0.0000  4 Cu 2.40-2.47, 8 Co 2.44-2.63
Co: 0.0000 0.6461 0.5000  8 Co 2.44-2.63, 5 Cu 2.45-2.55
Cu: 0.0000 0.0000 0.5000  2 Cu 2.44, 9 Co 2.45-2.47
Cu: 0.3333 0.6667 0.0000  9 Co 2.40-2.55, 2 Cu 2.44

Properties
uncorrected energy: -53.35 eV for the cell shown



Record 10
A geometry-optimized Co2Cu structure. Source: Alexandria, functional GGA-PBE.

abc: 2.5065 2.5065 6.2182
angles: 90.00 90.00 120.00
With the nearest neighbours (Å) after each atom.
Space group P-3m1 (No. 164)
Inequivalent atoms, fractional coordinates:
Co: 0.3333 0.6667 0.1564  9 Co 2.42-2.51, 3 Cu 2.58
Cu: 0.0000 0.0000 0.5000  6 Cu 2.51, 6 Co 2.58

Properties
uncorrected energy: -18.10 eV for the cell shown



Record 11
A geometry-optimized CoCu structure. Source: Alexandria, functional GGA-PBE.

abc: 7.1775 7.1775 7.1775
angles: 90.00 90.00 90.00
With the nearest neighbours (Å) after each atom.
Space group I-43m (No. 217)
Inequivalent atoms, fractional coordinates:
Co: 0.1149 0.1149 0.1149  4 Cu 2.30-2.42, 3 Co 2.33
Cu: 0.1998 0.1998 0.8002  4 Co 2.30-2.42

Properties
uncorrected energy: -69.06 eV for the cell shown



Record 12
A geometry-optimized CoCu structure. Source: Alexandria, functional GGA-PBE.

abc: 3.9330 3.9330 7.3967
angles: 90.00 90.00 120.00
With the nearest neighbours (Å) after each atom.
Space group P6_3/mmc (No. 194)
Inequivalent atoms, fractional coordinates:
Co: 0.0000 0.0000 0.2500  3 Co 2.27
Co: 0.3333 0.6667 0.2500  3 Co 2.27, 2 Cu 2.45
Cu: 0.3333 0.6667 0.5809  7 Co 2.45-2.59, 4 Cu 2.50-2.57

Properties
uncorrected energy: -42.18 eV for the cell shown